[1]
# ScAs2Os

Crystalline ScAs2Os at its relaxed geometry (PBE, the Alexandria database).

Cell: 4.843 4.843 4.776 Å, 75.32 75.32 38.66°
Positions (direct):
1 Sc 0.250 0.250 0.197
2 As 0.997 0.997 0.026
3 As 0.763 0.763 0.694
4 Os 0.491 0.491 0.583

Final energy (eV/atom): -7.052
ΔH_f (0 K) (eV/atom): -0.3371
Calculated density (g/cm3): 9.5
V (Å³/f.u.): 67.4
E above lowest polymorph (meV per atom): 79



[2]
# YNbS2

Crystalline YNbS2 at its relaxed geometry (PBE, the Alexandria database).

Cell: 5.557 5.557 7.468 Å, 68.16 68.16 90.00°
Positions (direct):
1 Y 0.500 0.500 0.000
2 Y 0.250 0.750 0.500
3 S 0.667 0.125 0.250
4 S 0.875 0.917 0.750
5 S 0.083 0.625 0.250
6 S 0.375 0.333 0.750
7 Nb 0.750 0.250 0.500
8 Nb 0.000 0.000 0.000

Final energy (eV/atom): -7.115
Calculated density (g/cm3): 4.2
V (Å³/f.u.): 98.1
E above lowest polymorph (meV per atom): 216
Formation energy without anion corrections (eV per atom): -0.9183



[3]
# Tb2Co5Ni5

Crystalline Tb2Co5Ni5 at its relaxed geometry (PBE, the Alexandria database).

Cell: 4.001 4.823 8.555 Å, 90.00 90.00 90.00°
Positions (direct):
1 Tb 0.000 0.500 0.000
2 Tb 0.000 0.000 0.500
3 Co 0.500 0.248 0.746
4 Co 0.500 0.752 0.254
5 Co 0.500 0.752 0.746
6 Co 0.500 0.248 0.254
7 Co 0.500 0.500 0.500
8 Ni 0.000 0.500 0.331
9 Ni 0.000 0.000 0.832
10 Ni 0.000 0.000 0.168
11 Ni 0.000 0.500 0.669
12 Ni 0.500 0.000 0.000

Final energy (eV/atom): -6.349
ΔH_f (0 K) (eV/atom): -0.2074
Calculated density (g/cm3): 9.1
V (Å³/f.u.): 165.1



[4]
# ZrPaO

Crystalline ZrPaO at its relaxed geometry (PBE, the Alexandria database).

Cell: 3.298 3.298 24.901 Å, 90.00 90.00 120.00°
Positions (direct):
1 Pa 0.333 0.667 0.102
2 Pa 0.333 0.667 0.659
3 Pa 0.667 0.333 0.898
4 Pa 0.667 0.333 0.341
5 Zr 0.333 0.667 0.448
6 Zr 0.667 0.333 0.552
7 Zr 0.333 0.667 0.230
8 Zr 0.667 0.333 0.770
9 O 0.333 0.667 0.945
10 O 0.667 0.333 0.169
11 O 0.333 0.667 0.831
12 O 0.667 0.333 0.055

Final energy (eV/atom): -9.059
Calculated density (g/cm3): 9.6
V (Å³/f.u.): 58.7
Formation energy without anion corrections (eV per atom): -1.3919



[5]
# K2AlCd

Crystalline K2AlCd at its relaxed geometry (PBE, the Alexandria database).

Cell: 6.667 6.667 6.667 Å, 140.26 125.38 69.64°
Positions (direct):
1 K 0.027 0.027 0.000
2 K 0.722 0.222 0.500
3 Al 0.441 0.441 0.000
4 Cd 0.310 0.810 0.500

Final energy (eV/atom): -1.578
ΔH_f (0 K) (eV/atom): 0.1348
Calculated density (g/cm3): 2.4
V (Å³/f.u.): 151.8
E above lowest polymorph (meV per atom): 52



[6]
# ThInHgPb

Crystalline ThInHgPb at its relaxed geometry (PBE, the Alexandria database).

Cell: 5.422 5.422 5.422 Å, 60.00 60.00 60.00°
Positions (direct):
1 In 0.000 0.000 0.000
2 Hg 0.500 0.500 0.500
3 Pb 0.750 0.750 0.750
4 Th 0.250 0.250 0.250

Final energy (eV/atom): -3.610
ΔH_f (0 K) (eV/atom): -0.0674
Calculated density (g/cm3): 11.1
V (Å³/f.u.): 112.7
E above lowest polymorph (meV per atom): 222



[7]
# LiIn3Pb6

Crystalline LiIn3Pb6 at its relaxed geometry (PBE, the Alexandria database).

Cell: 5.553 9.156 12.040 Å, 109.27 90.00 90.00°
Positions (direct):
1 In 0.250 0.197 0.634
2 In 0.750 0.803 0.366
3 In 0.250 0.606 0.235
4 In 0.750 0.194 0.968
5 In 0.750 0.394 0.765
6 In 0.250 0.806 0.032
7 Pb 0.250 0.010 0.342
8 Pb 0.750 0.990 0.658
9 Pb 0.250 0.999 0.832
10 Pb 0.250 0.401 0.932
11 Pb 0.750 0.599 0.068
12 Pb 0.750 0.001 0.168
13 Pb 0.250 0.221 0.146
14 Pb 0.250 0.775 0.523
15 Pb 0.750 0.423 0.289
16 Pb 0.250 0.577 0.711
17 Pb 0.750 0.225 0.477
18 Pb 0.750 0.779 0.854
19 Li 0.750 0.605 0.567
20 Li 0.250 0.395 0.433

Final energy (eV/atom): -3.247
ΔH_f (0 K) (eV/atom): -0.0090
Calculated density (g/cm3): 9.2
V (Å³/f.u.): 288.9
E above lowest polymorph (meV per atom): 0